Entry 1:
CdGa5Sn4 (PBE, relaxed); total magnetic moment = 0.00 μB per cell; N(E_F) = 3.4 states/eV per cell; energy of formation = 51.3 kJ/mol of formula units; raw total energy = -3.15 eV/atom; volume = 230.63 Å³/cell
1.0
-0.200 -1.411 3.368
2.918 -2.090 -0.702
10.354 12.493 5.850
Cd Sn Ga
1 4 5
Cartesian
0.000 0.000 0.000
6.240 7.528 3.525
8.339 10.061 4.711
4.115 4.964 2.325
2.016 2.432 1.139
6.536 4.496 4.258
2.318 -0.592 1.875
10.753 9.585 6.641
8.641 7.036 5.447
4.431 1.956 3.069

Entry 2:
CdGa4Sn (PBE, relaxed); energy above the most stable polymorph in this dataset = 0.28 eV/f.u.; total magnetic moment = 0.00 μB per cell; N(E_F) = 2.7 states/eV per cell; energy of formation = 54.7 kJ/mol of formula units; raw total energy = -2.74 eV/atom; volume = 132.78 Å³/cell
1.0
4.502 0.000 0.000
-2.251 3.899 0.000
0.000 0.000 7.564
Ga Sn Cd
4 1 1
Cartesian
0.000 2.599 5.732
0.000 2.599 1.832
2.251 1.300 5.732
2.251 1.300 1.832
0.000 0.000 3.782
0.000 0.000 0.000